# 1
meta-GGA SCAN Be2CuAu, PBEsol geometry; space group = P4mm
1.0
2.819 0.000 0.000
0.000 2.819 0.000
0.000 0.000 5.596
Be Cu Au
2 1 1
direct
0.000 0.000 0.000
0.500 0.500 0.211
0.000 0.000 0.411
0.500 0.500 0.752

---

# 2
meta-GGA SCAN GaGeSbI2, PBEsol geometry; formation energy without anion corrections = 0.5983 eV/atom; space group = P4/mmm
1.0
5.422 0.000 0.000
0.000 5.422 0.000
0.000 0.000 5.345
Ga Ge Sb I
1 1 1 2
direct
0.000 0.000 0.000
0.500 0.500 0.500
0.000 0.000 0.500
0.000 0.500 0.000
0.500 0.000 0.000

---

# 3
meta-GGA SCAN MnTcTe, PBEsol geometry; ΔE to the lowest computed polymorph = 392 meV per atom; formation energy without anion corrections = 0.4178 eV/atom; space group = I4mm
1.0
-1.493 1.493 5.085
1.493 -1.493 5.085
1.493 1.493 -5.085
Mn Tc Te
1 1 1
direct
0.000 0.000 0.000
0.642 0.642 0.000
0.328 0.328 0.000

---

# 4
meta-GGA SCAN Ca2Cu, PBEsol geometry; space group = Pa-3
1.0
7.069 0.000 0.000
0.000 7.069 0.000
0.000 0.000 7.069
Ca Cu
8 4
direct
0.159 0.159 0.159
0.159 0.341 0.659
0.341 0.659 0.159
0.341 0.841 0.659
0.659 0.159 0.341
0.659 0.341 0.841
0.841 0.659 0.341
0.841 0.841 0.841
0.000 0.000 0.500
0.000 0.500 0.000
0.500 0.000 0.000
0.500 0.500 0.500

---

Energy for every record listed, in sequence, given in eV/atom: -23.427 -28.637 -29.771 -11.512.